No. 1
Hf2H2Ir: relaxed, PBE.

Unit cell a=3.172 b=3.172 c=12.196 alpha=90.00 beta=90.00 gamma=90.00
Space group I4/mmm (No. 139)
Inequivalent atoms, fractional coordinates:
Hf: 0.000 0.000 0.139 [4 per cell]
H: 0.000 0.500 0.250 [4 per cell]
Ir: 0.000 0.000 0.500 [2 per cell]

Summary:
E (eV per atom): -7.7765

***

No. 2
Hf2Pd: relaxed, PBE.

Unit cell a=7.837 b=7.837 c=7.837 alpha=90.00 beta=90.00 gamma=90.00
Space group Fd-3m (No. 227, origin choice 2)
Inequivalent atoms, fractional coordinates:
Hf: 0.000 0.000 0.000 [16 per cell]
Pd: 0.125 0.125 0.625 [8 per cell]

Summary:
E (eV per atom): -8.0776
Calculated formation energy (eV per atom): 0.284

***

No. 3
IrC8: relaxed, PBE.

Unit cell a=4.9949 b=4.9949 c=3.8777 alpha=90.00 beta=90.00 gamma=120.00
Space group P6/mmm (No. 191)
Inequivalent atoms, fractional coordinates:
Ir: 0.0000 0.0000 0.0000 [1 per cell]
C: 0.1683 0.3366 0.5000 [6 per cell]
C: 0.3333 0.6667 0.5000 [2 per cell]

Summary:
E (eV per atom): -8.6529
Offset from the most stable computed form (kJ/mol of formula units): 22

***

No. 4
LuTlCoSe3: relaxed, PBE.

Unit cell a=3.976 b=14.905 c=10.552 alpha=90.00 beta=90.00 gamma=90.00
Space group Cmcm (No. 63)
Inequivalent atoms, fractional coordinates:
Lu: 0.000 0.000 0.000 [4 per cell]
Tl: 0.000 0.249 0.250 [4 per cell]
Co: 0.000 0.470 0.750 [4 per cell]
Se: 0.000 0.066 0.750 [4 per cell]
Se: 0.000 0.376 0.567 [8 per cell]

Summary:
E (eV per atom): -4.9622
Offset from the most stable computed form (kJ/mol of formula units): 14

***

No. 5
LaHoSi2Au2: relaxed, PBE.

Unit cell a=4.3744 b=4.3744 c=7.9096 alpha=90.00 beta=90.00 gamma=120.00
Space group P3m1 (No. 156)
Inequivalent atoms, fractional coordinates:
La: 0.0000 0.0000 0.0000 [1 per cell]
Ho: 0.0000 0.0000 0.4948 [1 per cell]
Si: 0.3333 0.6667 0.7137 [1 per cell]
Si: 0.6667 0.3333 0.2360 [1 per cell]
Au: 0.3333 0.6667 0.2844 [1 per cell]
Au: 0.6667 0.3333 0.7348 [1 per cell]

Summary:
E (eV per atom): -5.3225

***

No. 6
MgBiAu: relaxed, PBE.

Unit cell a=7.7309 b=7.7309 c=4.2624 alpha=90.00 beta=90.00 gamma=120.00
Space group P-62m (No. 189)
Inequivalent atoms, fractional coordinates:
Mg: 0.0000 0.5670 0.0000 [3 per cell]
Bi: 0.0000 0.0000 0.0000 [1 per cell]
Bi: 0.3333 0.6667 0.5000 [2 per cell]
Au: 0.0000 0.2701 0.5000 [3 per cell]

Summary:
E (eV per atom): -3.0209